1.
Density functional theory data (PBE-GGA) for Rb2RhPbCl8 after structural relaxation.

## Properties
- formation energy without anion corrections (eV/f.u.) = -13.67

a b c (Å): 6.593 8.094 8.440
angles (deg): 78.02 70.05 75.77
Sites, in units of the cell vectors:
Rb  0.149  0.174  0.134
Rb  0.851  0.826  0.866
Rh  0.500  0.000  0.500
Pb  0.500  0.500  0.500
Cl  0.250  0.262  0.480
Cl  0.262  0.489  0.830
Cl  0.262  0.850  0.459
Cl  0.334  0.956  0.800
Cl  0.666  0.044  0.200
Cl  0.738  0.150  0.541
Cl  0.738  0.511  0.170
Cl  0.750  0.738  0.520

2.
Density functional theory data (PBE-GGA) for DyTl2Cu3F12 after structural relaxation.

## Properties
- formation energy without anion corrections (eV/f.u.) = -38.45

a b c (Å): 7.141 7.141 7.141
angles (deg): 63.95 63.95 63.95
Sites, in units of the cell vectors:
Dy  0.000  0.000  0.000
Tl  0.384  0.384  0.384
Tl  0.616  0.616  0.616
Cu  0.000  0.000  0.500
Cu  0.000  0.500  0.000
Cu  0.500  0.000  0.000
F  0.088  0.711  0.711
F  0.107  0.107  0.633
F  0.107  0.633  0.107
F  0.289  0.289  0.912
F  0.289  0.912  0.289
F  0.367  0.893  0.893
F  0.633  0.107  0.107
F  0.711  0.088  0.711
F  0.711  0.711  0.088
F  0.893  0.367  0.893
F  0.893  0.893  0.367
F  0.912  0.289  0.289

3.
Density functional theory data (PBE-GGA) for CaGa3N3 after structural relaxation.

## Properties
- formation energy without anion corrections (eV/f.u.) = -1.46

a b c (Å): 6.926 6.926 6.926
angles (deg): 55.96 55.96 55.96
Sites, in units of the cell vectors:
Ca  0.187  0.187  0.187
Ca  0.813  0.813  0.813
Ga  0.228  0.228  0.690
Ga  0.228  0.690  0.228
Ga  0.310  0.772  0.772
Ga  0.690  0.228  0.228
Ga  0.772  0.310  0.772
Ga  0.772  0.772  0.310
N  0.098  0.098  0.600
N  0.098  0.600  0.098
N  0.400  0.902  0.902
N  0.600  0.098  0.098
N  0.902  0.400  0.902
N  0.902  0.902  0.400

4.
Density functional theory data (PBE-GGA) for HfSc3Fe after structural relaxation.

## Properties
- calculated formation energy (eV per atom) = 1.4955
- E above lowest polymorph (meV/atom) = 1252

a b c (Å): 5.065 5.065 5.065
angles (deg): 90.00 90.00 90.00
Sites, in units of the cell vectors:
Hf  0.000  0.000  0.000
Sc  0.000  0.000  0.500
Sc  0.000  0.500  0.000
Sc  0.500  0.000  0.000
Fe  0.500  0.500  0.500

What did the fourth record say?
Density functional theory data (PBE-GGA) for HfSc3Fe after structural relaxation.

## Properties
- calculated formation energy (eV per atom) = 1.4955
- E above lowest polymorph (meV/atom) = 1252

a b c (Å): 5.065 5.065 5.065
angles (deg): 90.00 90.00 90.00
Sites, in units of the cell vectors:
Hf  0.000  0.000  0.000
Sc  0.000  0.000  0.500
Sc  0.000  0.500  0.000
Sc  0.500  0.000  0.000
Fe  0.500  0.500  0.500